No. 1
Density functional theory data (PBE-GGA) for a geometry-optimized Cr2CuTc structure.

Cell: 6.6022 6.6022 5.0546 Å, 90.00 90.00 90.00°
Last column: nearest neighbours and their distance in Å.
Space group I-42d (No. 122)
Unique sites:
Cr (0.2326, 0.7500, 0.1250) [8 per cell]  2 Tc 2.34, 2 Cu 2.50, 2 Cr 2.54
Cu (0.0000, 0.0000, 0.5000) [4 per cell]  4 Cr 2.50, 2 Tc 2.53
Tc (0.0000, 0.0000, 0.0000) [4 per cell]  4 Cr 2.34, 2 Cu 2.53

Results
E_form, eV per atom: 0.78

No. 2
Density functional theory data (PBE-GGA) for a geometry-optimized Rb3Dy2SnO6 structure.

Cell: 6.0895 10.5494 6.8661 Å, 90.00 107.15 90.00°
Last column: nearest neighbours and their distance in Å.
Space group C2/m (No. 12)
Unique sites:
Rb (0.0000, 0.0000, 0.0000) [2 per cell]  6 O 2.92-2.94
Rb (0.0000, 0.3360, 0.0000) [4 per cell]  6 O 2.93-2.94
Dy (0.0000, 0.1668, 0.5000) [4 per cell]  6 O 2.33
Sn (0.0000, 0.5000, 0.5000) [2 per cell]  6 O 2.36
O (0.2221, 0.0000, 0.6772) [4 per cell]  2 Dy 2.33, 1 Sn 2.36
O (0.2278, 0.3314, 0.6779) [8 per cell]  2 Dy 2.33, 1 Sn 2.36

Results
Formation energy (no corrections), kJ/mol of atoms: -211.94

No. 3
Density functional theory data (PBE-GGA) for a geometry-optimized KSbTe2Os structure.

Cell: 5.6076 5.6076 5.0341 Å, 90.00 90.00 90.00°
Last column: nearest neighbours and their distance in Å.
Space group P4/mmm (No. 123)
Unique sites:
K (0.0000, 0.0000, 0.0000) [1 per cell]  8 Te 3.77, 4 Sb 3.97
Sb (0.5000, 0.5000, 0.0000) [1 per cell]  2 Os 2.52
Te (0.0000, 0.5000, 0.5000) [2 per cell]  2 Os 2.80
Os (0.5000, 0.5000, 0.5000) [1 per cell]  2 Sb 2.52, 4 Te 2.80

Results
Formation energy (no corrections), kJ/mol of atoms: 24.16

Listing density of states at the Fermi level for the structures above in their given order: 1.2282, 0.4204, 1.4250 states/eV/atom.
Listing theoretical density for the structures above in their given order: 8.0, 6.3, 6.4 g/cm3.